*A*
DFT (PBE-GGA) results for CeZr7O16 after structural relaxation.

## Properties
Mass density: 6.0 Mg/m³
Calculated volume: 11.973 A^3/atom
SG: P-4m2 (115)

a b c (Å): 7.352 7.352 5.316
angles (deg): 90.00 90.00 90.00
Atoms (fractional coordinates):
Zr 0.252 0.252 0.500
O 0.245 0.500 0.192
Zr 0.252 0.748 0.500
Zr 0.748 0.252 0.500
O 0.500 0.733 0.308
O 0.500 0.245 0.808
O 0.000 0.735 0.785
O 0.000 0.249 0.300
O 0.500 0.267 0.308
Ce 0.000 0.000 0.000
O 0.265 0.000 0.215
O 0.755 0.500 0.192
Zr 0.500 0.000 0.999
O 0.267 0.500 0.692
O 0.500 0.755 0.808
O 0.000 0.751 0.300
O 0.733 0.500 0.692
O 0.000 0.265 0.785
Zr 0.000 0.500 0.001
O 0.751 0.000 0.700
O 0.249 0.000 0.700
Zr 0.500 0.500 0.000
Zr 0.748 0.748 0.500
O 0.735 0.000 0.215

***

*B*
DFT (PBE-GGA) results for CeZr7O16 after structural relaxation.

## Properties
Mass density: 5.7 Mg/m³
Calculated volume: 12.565 A^3/atom
SG: P1 (1)

a b c (Å): 6.944 7.474 7.496
angles (deg): 90.28 116.49 116.45
Atoms (fractional coordinates):
Zr 0.207 0.490 0.448
Zr 0.714 0.951 0.495
O 0.012 0.361 0.117
O 0.025 0.867 0.612
O 0.654 0.695 0.010
Zr 0.288 0.053 0.511
O 0.470 0.386 0.631
O 0.485 0.902 0.138
Zr 0.208 0.982 0.944
O 0.648 0.196 0.520
O 0.528 0.615 0.379
O 0.966 0.634 0.884
Zr 0.786 0.511 0.552
O 0.861 0.993 0.810
O 0.138 0.518 0.683
O 0.525 0.104 0.860
O 0.362 0.297 0.980
Ce 0.294 0.548 0.015
O 0.975 0.131 0.392
Zr 0.792 0.012 0.056
Zr 0.711 0.440 0.986
O 0.848 0.488 0.304
O 0.150 0.022 0.194
O 0.352 0.807 0.479

***

Tell me which of them is the least stable. Sure, it is *A*.

***

*A*
DFT (PBE-GGA) results for CeZrO after structural relaxation.

## Properties
Mass density: 7.2 Mg/m³
Calculated volume: 18.938 A^3/atom
SG: P3m1 (156)

a b c (Å): 3.418 3.418 5.615
angles (deg): 90.00 90.00 120.00
Atoms (fractional coordinates):
Zr 0.667 0.333 0.436
O 0.333 0.667 0.646
Ce 0.000 0.000 0.918

***

*B*
DFT (PBE-GGA) results for CeZrO after structural relaxation.

## Properties
Mass density: 6.4 Mg/m³
Calculated volume: 21.549 A^3/atom
SG: I4/mmm (139)

a b c (Å): 4.052 4.052 8.381
angles (deg): 103.99 103.99 90.00
Last column: magnetic moment on the atom in μB.
Atoms (fractional coordinates):
O 0.927 0.927 0.853  0.00
Ce 0.211 0.211 0.422  0.87
O 0.073 0.073 0.147  0.00
Zr 0.000 0.500 0.000  -0.02
Ce 0.789 0.789 0.578  0.87
Zr 0.500 0.000 0.000  -0.02

***

Tell me which of them is the least stable. Sure, it is *B*.